Record 1
# Na2Ca3PbO6

An optimized crystal structure of Na2Ca3PbO6 (PBE-GGA, the Alexandria database).

uncorrected energy: -5.63 eV per atom

```
Na2Ca3PbO6
1.0
2.973 -5.129 0.000
2.973 5.129 0.000
-1.999 0.000 5.435
Na Ca Pb O
2 3 1 6
Direct
0.166 0.834 0.000 Na
0.834 0.166 0.000 Na
0.000 0.000 0.500 Ca
0.329 0.671 0.500 Ca
0.671 0.329 0.500 Ca
0.500 0.500 0.000 Pb
0.104 0.415 0.745 O
0.278 0.278 0.247 O
0.415 0.104 0.745 O
0.585 0.896 0.255 O
0.722 0.722 0.753 O
0.896 0.585 0.255 O
```

---

Record 2
# Ta3W

An optimized crystal structure of Ta3W (PBE-GGA, the Alexandria database).

uncorrected energy: -12.19 eV per atom

```
Ta3W
1.0
-1.634 2.323 4.650
1.634 -2.323 4.650
1.634 2.323 -4.650
Ta W
3 1
Direct
0.000 0.000 0.000 Ta
0.259 0.759 0.500 Ta
0.741 0.241 0.500 Ta
0.500 0.500 0.000 W
```

---

Record 3
# Ac3ZnIn2Pd6

An optimized crystal structure of Ac3ZnIn2Pd6 (PBE-GGA, the Alexandria database).

uncorrected energy: -4.87 eV per atom

```
Ac3ZnIn2Pd6
1.0
5.963 0.000 0.000
-2.981 5.164 0.000
0.000 0.000 9.023
Ac Zn In Pd
3 1 2 6
Direct
0.000 0.000 0.000 Ac
0.333 0.667 0.626 Ac
0.667 0.333 0.374 Ac
0.000 0.000 0.500 Zn
0.333 0.667 0.031 In
0.667 0.333 0.969 In
0.173 0.345 0.291 Pd
0.173 0.827 0.291 Pd
0.345 0.173 0.709 Pd
0.655 0.827 0.291 Pd
0.827 0.173 0.709 Pd
0.827 0.655 0.709 Pd
```

---

Record 4
# Nd3Gd

An optimized crystal structure of Nd3Gd (PBE-GGA, the Alexandria database).

uncorrected energy: -7.07 eV per atom
energy above the lowest structure with this stoichiometry: 0.32 kcal/mol of atoms

```
Nd3Gd
1.0
3.696 0.000 0.000
0.000 5.918 0.000
0.000 0.000 6.402
Nd Gd
3 1
Direct
0.000 0.000 0.000 Nd
0.000 0.500 0.333 Nd
0.500 0.500 0.833 Nd
0.500 0.000 0.500 Gd
```

---

Record 5
# Nb2Ga2Pb

An optimized crystal structure of Nb2Ga2Pb (PBE-GGA, the Alexandria database).

uncorrected energy: -5.94 eV per atom
energy above the lowest structure with this stoichiometry: 0.00 kcal/mol of atoms

```
Nb2Ga2Pb
1.0
7.404 0.000 0.000
0.000 7.404 0.000
0.000 0.000 3.587
Nb Ga Pb
4 4 2
Direct
0.128 0.372 0.000 Nb
0.372 0.872 0.000 Nb
0.628 0.128 0.000 Nb
0.872 0.628 0.000 Nb
0.167 0.667 0.500 Ga
0.333 0.167 0.500 Ga
0.667 0.833 0.500 Ga
0.833 0.333 0.500 Ga
0.000 0.000 0.000 Pb
0.500 0.500 0.000 Pb
```

---

Record 6
# La3AuO

An optimized crystal structure of La3AuO (PBE-GGA, the Alexandria database).

uncorrected energy: -5.92 eV per atom
energy above the lowest structure with this stoichiometry: 3.36 kcal/mol of atoms

```
La3AuO
1.0
6.765 0.000 0.000
0.000 6.749 0.000
-3.364 0.000 5.973
La Au O
6 2 2
Direct
0.003 0.250 0.141 La
0.412 0.008 0.720 La
0.412 0.492 0.720 La
0.588 0.508 0.280 La
0.588 0.992 0.280 La
0.997 0.750 0.859 La
0.019 0.750 0.310 Au
0.981 0.250 0.690 Au
0.378 0.750 0.955 O
0.622 0.250 0.045 O
```

---

Record 7
# TlP2Br

An optimized crystal structure of TlP2Br (PBE-GGA, the Alexandria database).

uncorrected energy: -3.77 eV per atom
energy above the lowest structure with this stoichiometry: 1.51 kcal/mol of atoms

```
TlP2Br
1.0
6.092 -1.710 0.000
6.092 1.710 0.000
-0.859 0.000 5.230
Tl P Br
1 2 1
Direct
0.000 0.000 0.000 Tl
0.235 0.235 0.126 P
0.765 0.765 0.874 P
0.500 0.500 0.500 Br
```

---

Record 8
# BaCBr2

An optimized crystal structure of BaCBr2 (PBE-GGA, the Alexandria database).

uncorrected energy: -3.41 eV per atom
energy above the lowest structure with this stoichiometry: 0.00 kcal/mol of atoms

```
BaCBr2
1.0
2.673 1.543 4.750
-2.673 1.543 4.750
0.000 -3.087 4.750
Ba C Br
1 1 2
Direct
0.000 0.000 0.000 Ba
0.500 0.500 0.500 C
0.241 0.241 0.241 Br
0.759 0.759 0.759 Br
```

---

Record 9
# AlAgAu6

An optimized crystal structure of AlAgAu6 (PBE-GGA, the Alexandria database).

uncorrected energy: -3.26 eV per atom
energy above the lowest structure with this stoichiometry: 3.10 kcal/mol of atoms

```
AlAgAu6
1.0
3.835 2.214 3.219
-3.835 2.214 3.219
0.000 -4.429 3.219
Al Ag Au
1 1 6
Direct
0.000 0.000 0.000 Al
0.500 0.500 0.500 Ag
0.048 0.676 0.676 Au
0.324 0.324 0.952 Au
0.324 0.952 0.324 Au
0.676 0.048 0.676 Au
0.676 0.676 0.048 Au
0.952 0.324 0.324 Au
```

---

Record 10
# Be3BrF

An optimized crystal structure of Be3BrF (PBE-GGA, the Alexandria database).

uncorrected energy: -1.61 eV per atom
energy above the lowest structure with this stoichiometry: 15.14 kcal/mol of atoms

```
Be3BrF
1.0
4.617 0.000 0.000
0.000 4.617 0.000
0.000 0.000 4.617
Be Br F
3 1 1
Direct
0.000 0.000 0.500 Be
0.000 0.500 0.000 Be
0.500 0.000 0.000 Be
0.000 0.000 0.000 Br
0.500 0.500 0.500 F
```

---

Record 11
# Tl2NiSb

An optimized crystal structure of Tl2NiSb (PBE-GGA, the Alexandria database).

uncorrected energy: -3.36 eV per atom
energy above the lowest structure with this stoichiometry: 6.58 kcal/mol of atoms

```
Tl2NiSb
1.0
2.152 -2.463 0.000
2.152 2.463 0.000
0.000 0.000 8.813
Tl Ni Sb
2 1 1
Direct
0.000 0.000 0.195 Tl
0.000 0.000 0.805 Tl
0.500 0.500 0.000 Ni
0.500 0.500 0.500 Sb
```

---

Record 12
# Y2Ga6Ag3

An optimized crystal structure of Y2Ga6Ag3 (PBE-GGA, the Alexandria database).

uncorrected energy: -3.81 eV per atom

```
Y2Ga6Ag3
1.0
4.965 -5.919 0.000
4.965 5.919 0.000
0.000 0.000 3.871
Y Ga Ag
2 6 3
Direct
0.198 0.802 0.000 Y
0.802 0.198 0.000 Y
0.119 0.119 0.500 Ga
0.148 0.467 0.500 Ga
0.467 0.148 0.500 Ga
0.533 0.852 0.500 Ga
0.852 0.533 0.500 Ga
0.881 0.881 0.500 Ga
0.293 0.293 0.000 Ag
0.500 0.500 0.500 Ag
0.707 0.707 0.000 Ag
```